Pm2HgW | GGA-PBE | relaxed Values from VASP.

Calculated values
crystal system	tetragonal
VASP energy	-5.02	eV/atom
SG	No. 123
energy relative to the elements	666	meV/atom

Structure (Quantum ESPRESSO input):
```
&SYSTEM
  ibrav = 0, nat = 4, ntyp = 3
/
ATOMIC_SPECIES
Pm 145.00 Pm.upf
Hg 200.59 Hg.upf
W 183.84 W.upf
CELL_PARAMETERS angstrom
4.312 0.000 0.000
0.000 4.312 0.000
0.000 0.000 5.930
ATOMIC_POSITIONS angstrom
Pm 0.000 0.000 0.000
Pm 2.156 2.156 2.965
Hg 0.000 0.000 2.965
W 2.156 2.156 0.000
```